# 1
VASP calculation (GGA-PBE) on a relaxed Na5B8C2 crystal.

```
data_Na5B8C2
_space_group_name_H-M_alt 'P 1'
_space_group_IT_number 1
_cell_length_a 11.789
_cell_length_b 11.789
_cell_length_c 10.140
_cell_angle_alpha 105.88
_cell_angle_beta 105.88
_cell_angle_gamma 13.75
loop_
_space_group_symop_operation_xyz
'x,y,z'
loop_
_atom_site_label
_atom_site_type_symbol
_atom_site_fract_x
_atom_site_fract_y
_atom_site_fract_z
Na1 Na 0.700 0.700 0.900
B1 B 0.388 0.388 0.526
B2 B 0.175 0.175 0.100
B3 B 0.619 0.619 0.490
B4 B 0.682 0.682 0.616
B5 B 0.519 0.519 0.789
Na2 Na 0.400 0.400 0.802
C1 C 0.284 0.284 0.816
Na3 Na 0.200 0.200 0.400
B6 B 0.421 0.421 0.091
Na4 Na 0.099 0.099 0.701
B7 B 0.718 0.718 0.184
C2 C 0.481 0.481 0.212
Na5 Na 0.301 0.301 0.099
B8 B 0.781 0.781 0.310
B9 B 0.815 0.815 0.880
Na6 Na 0.900 0.900 0.300
B10 B 0.979 0.979 0.709
B11 B 0.012 0.012 0.274
C3 C 0.116 0.116 0.984
Na7 Na 0.500 0.500 0.500
B12 B 0.323 0.323 0.395
Na8 Na 0.802 0.802 0.601
B13 B 0.077 0.077 0.405
Na9 Na 0.000 0.000 0.998
C4 C 0.919 0.919 0.588
B14 B 0.881 0.881 0.011
Na10 Na 0.598 0.598 0.199
B15 B 0.585 0.585 0.920
B16 B 0.225 0.225 0.700
```

Output
* E: -151.5 eV per cell
* relative energy among the computed polymorphs: 10 meV per atom
* E_form: 180.5 meV per atom

=====

# 2
VASP calculation (GGA-PBE) on a relaxed Na2B3C crystal.

```
data_Na2B3C
_space_group_name_H-M_alt 'P 1'
_space_group_IT_number 1
_cell_length_a 9.118
_cell_length_b 9.118
_cell_length_c 13.548
_cell_angle_alpha 112.60
_cell_angle_beta 112.60
_cell_angle_gamma 17.79
loop_
_space_group_symop_operation_xyz
'x,y,z'
loop_
_atom_site_label
_atom_site_type_symbol
_atom_site_fract_x
_atom_site_fract_y
_atom_site_fract_z
C1 C 0.168 0.168 0.585
B1 B 0.029 0.029 0.804
Na1 Na 0.600 0.600 0.697
B2 B 0.831 0.831 0.413
B3 B 0.041 0.041 0.334
Na2 Na 0.801 0.801 0.102
C2 C 0.232 0.232 0.219
C3 C 0.573 0.573 0.397
B4 B 0.963 0.963 0.673
B5 B 0.174 0.174 0.101
Na3 Na 0.600 0.600 0.205
Na4 Na 0.000 0.000 0.000
B6 B 0.231 0.231 0.709
Na5 Na 0.198 0.198 0.898
Na6 Na 0.400 0.400 0.303
B7 B 0.973 0.973 0.198
B8 B 0.633 0.633 0.015
Na7 Na 0.000 0.000 0.500
B9 B 0.764 0.764 0.281
B10 B 0.429 0.429 0.110
B11 B 0.822 0.822 0.893
Na8 Na 0.201 0.201 0.402
B12 B 0.636 0.636 0.522
B13 B 0.370 0.370 0.491
B14 B 0.570 0.570 0.888
Na9 Na 0.401 0.401 0.795
B15 B 0.365 0.365 0.981
C4 C 0.763 0.763 0.773
Na10 Na 0.800 0.800 0.598
C5 C 0.432 0.432 0.612
```

Output
* E: -154.9 eV per cell
* relative energy among the computed polymorphs: 20 meV per atom
* E_form: 153.1 meV per atom

=====

# 3
VASP calculation (GGA-PBE) on a relaxed Na5B8C2 crystal.

```
data_Na5B8C2
_space_group_name_H-M_alt 'P 1'
_space_group_IT_number 1
_cell_length_a 7.525
_cell_length_b 7.525
_cell_length_c 8.670
_cell_angle_alpha 90.00
_cell_angle_beta 90.00
_cell_angle_gamma 138.90
loop_
_space_group_symop_operation_xyz
'x,y,z'
loop_
_atom_site_label
_atom_site_type_symbol
_atom_site_fract_x
_atom_site_fract_y
_atom_site_fract_z
B1 B 0.763 0.972 0.250
Na1 Na 0.000 0.000 0.000
B2 B 0.481 0.881 0.750
Na2 Na 0.600 0.400 0.500
B3 B 0.152 0.552 0.750
B4 B 0.448 0.848 0.250
Na3 Na 0.800 0.200 0.500
B5 B 0.931 0.724 0.250
B6 B 0.669 0.676 0.750
C1 C 0.540 0.136 0.750
B7 B 0.119 0.519 0.250
Na4 Na 0.800 0.200 0.000
Na5 Na 0.600 0.400 0.000
Na6 Na 0.199 0.801 0.500
Na7 Na 0.199 0.801 0.000
C2 C 0.736 0.940 0.750
Na8 Na 0.401 0.599 0.500
B8 B 0.324 0.331 0.250
B9 B 0.572 0.163 0.250
B10 B 0.648 0.659 0.250
B11 B 0.259 0.048 0.250
B12 B 0.837 0.428 0.750
B13 B 0.028 0.237 0.750
B14 B 0.952 0.741 0.750
B15 B 0.276 0.069 0.750
Na9 Na 0.401 0.599 0.000
C3 C 0.864 0.460 0.250
C4 C 0.060 0.264 0.250
B16 B 0.341 0.352 0.750
Na10 Na 0.000 0.000 0.500
```

Output
* E: -151.2 eV per cell
* relative energy among the computed polymorphs: 20 meV per atom
* E_form: 190.2 meV per atom

=====

# 4
VASP calculation (GGA-PBE) on a relaxed Na5B6C4 crystal.

```
data_Na5B6C4
_space_group_name_H-M_alt 'P 1'
_space_group_IT_number 1
_cell_length_a 12.576
_cell_length_b 12.576
_cell_length_c 8.484
_cell_angle_alpha 90.00
_cell_angle_beta 90.00
_cell_angle_gamma 167.07
loop_
_space_group_symop_operation_xyz
'x,y,z'
loop_
_atom_site_label
_atom_site_type_symbol
_atom_site_fract_x
_atom_site_fract_y
_atom_site_fract_z
C1 C 0.865 0.135 0.750
Na1 Na 0.600 0.400 0.503
Na2 Na 0.800 0.200 0.000
B1 B 0.931 0.069 0.750
B2 B 0.736 0.264 0.750
B3 B 0.139 0.861 0.750
Na3 Na 0.400 0.600 0.497
B4 B 0.067 0.933 0.750
Na4 Na 0.800 0.200 0.500
B5 B 0.666 0.334 0.250
B6 B 0.334 0.666 0.750
Na5 Na 0.000 0.000 0.000
C2 C 0.537 0.463 0.250
C3 C 0.329 0.671 0.250
Na6 Na 0.600 0.400 0.997
C4 C 0.268 0.732 0.750
B7 B 0.861 0.139 0.250
B8 B 0.527 0.473 0.750
B9 B 0.069 0.931 0.250
B10 B 0.933 0.067 0.250
B11 B 0.264 0.736 0.250
Na7 Na 0.400 0.600 0.003
Na8 Na 0.000 0.000 0.500
C5 C 0.135 0.865 0.250
C6 C 0.732 0.268 0.250
C7 C 0.463 0.537 0.750
B12 B 0.473 0.527 0.250
C8 C 0.671 0.329 0.750
Na9 Na 0.200 0.800 0.500
Na10 Na 0.200 0.800 0.000
```

Output
* E: -165.3 eV per cell
* relative energy among the computed polymorphs: 7 meV per atom
* E_form: 59.2 meV per atom

=====

# 5
VASP calculation (GGA-PBE) on a relaxed Na3B5C crystal.

```
data_Na3B5C
_space_group_name_H-M_alt 'P 1'
_space_group_IT_number 1
_cell_length_a 7.954
_cell_length_b 7.954
_cell_length_c 10.089
_cell_angle_alpha 120.49
_cell_angle_beta 120.49
_cell_angle_gamma 20.96
loop_
_space_group_symop_operation_xyz
'x,y,z'
loop_
_atom_site_label
_atom_site_type_symbol
_atom_site_fract_x
_atom_site_fract_y
_atom_site_fract_z
B1 B 0.137 0.137 0.751
B2 B 0.470 0.470 0.749
B3 B 0.696 0.696 0.751
Na1 Na 0.666 0.666 0.999
B4 B 0.853 0.853 0.250
Na2 Na 0.168 0.168 0.503
Na3 Na 0.333 0.333 0.001
B5 B 0.542 0.542 0.250
Na4 Na 0.499 0.499 0.500
C1 C 0.642 0.642 0.250
Na5 Na 0.834 0.834 0.501
B6 B 0.029 0.029 0.750
B7 B 0.363 0.363 0.749
C2 C 0.300 0.300 0.250
B8 B 0.968 0.968 0.250
Na6 Na 0.999 0.999 0.997
B9 B 0.196 0.196 0.250
B10 B 0.804 0.804 0.750
```

Output
* E: -89.1 eV per cell
* relative energy among the computed polymorphs: 32 meV per atom
* E_form: 223.8 meV per atom

=====

# 6
VASP calculation (GGA-PBE) on a relaxed Na6B7C5 crystal.

```
data_Na6B7C5
_space_group_name_H-M_alt 'P 1'
_space_group_IT_number 1
_cell_length_a 7.630
_cell_length_b 7.630
_cell_length_c 9.861
_cell_angle_alpha 119.91
_cell_angle_beta 119.91
_cell_angle_gamma 21.25
loop_
_space_group_symop_operation_xyz
'x,y,z'
loop_
_atom_site_label
_atom_site_type_symbol
_atom_site_fract_x
_atom_site_fract_y
_atom_site_fract_z
C1 C 0.639 0.639 0.251
Na1 Na 0.668 0.668 0.001
B1 B 0.194 0.194 0.251
B2 B 0.460 0.460 0.750
B3 B 0.146 0.146 0.750
C2 C 0.972 0.972 0.249
C3 C 0.358 0.358 0.750
C4 C 0.305 0.305 0.250
B4 B 0.804 0.804 0.750
B5 B 0.860 0.860 0.249
Na2 Na 0.166 0.166 0.498
Na3 Na 0.002 0.002 0.005
Na4 Na 0.501 0.501 0.498
Na5 Na 0.334 0.334 0.002
B6 B 0.527 0.527 0.250
B7 B 0.034 0.034 0.750
C5 C 0.699 0.699 0.750
Na6 Na 0.832 0.832 0.496
```

Output
* E: -99.9 eV per cell
* relative energy among the computed polymorphs: 0 meV per atom
* E_form: 51.0 meV per atom